No. 1
VASP calculation (PBE-GGA) on a geometry-optimized Li2Ag5Pd structure.

The structure in POSCAR format:
```
Li2Ag5Pd
1.0
2.124 -4.780 0.000
2.124 4.780 0.000
0.000 0.000 13.318
Li Ag Pd
4 10 2
direct
0.224 0.776 0.644
0.224 0.776 0.856
0.776 0.224 0.144
0.776 0.224 0.356
0.063 0.937 0.096
0.063 0.937 0.404
0.361 0.639 0.045
0.361 0.639 0.455
0.471 0.529 0.750
0.529 0.471 0.250
0.639 0.361 0.545
0.639 0.361 0.955
0.937 0.063 0.596
0.937 0.063 0.904
0.246 0.754 0.250
0.754 0.246 0.750
```

- Formation energy: -1.0 eV per formula unit



No. 2
VASP calculation (PBE-GGA) on a geometry-optimized KInAs2Br structure.

The structure in POSCAR format:
```
KInAs2Br
1.0
6.278 0.000 0.000
0.000 6.278 0.000
0.000 0.000 5.973
K In As Br
1 1 2 1
direct
0.000 0.000 0.000
0.500 0.500 0.500
0.000 0.500 0.000
0.500 0.000 0.000
0.000 0.000 0.500
```

- ΔE_f (raw): 0.68 eV per atom



No. 3
VASP calculation (PBE-GGA) on a geometry-optimized Si3RhSe structure.

The structure in POSCAR format:
```
Si3RhSe
1.0
4.620 0.000 0.000
0.000 4.620 0.000
0.000 0.000 4.620
Si Rh Se
3 1 1
direct
0.000 0.000 0.500
0.000 0.500 0.000
0.500 0.000 0.000
0.000 0.000 0.000
0.500 0.500 0.500
```

- ΔE_f (raw): 0.19 eV per atom